[1]
Here is a geometry-optimized Tl2PbSBr structure from Alexandria via LeMat-Bulk. Energies are from PBEsol.

## Properties
Magnetic moment = 0.00 μB per formula unit
VASP energy = -2.78 eV/atom
E_form (uncorrected) = 0.322 eV per atom
Space-group type = No. 123

Structure (extended XYZ):
```
5
Lattice="4.879 0.000 0.000 0.000 5.787 0.000 0.000 0.000 5.787" Properties=species:S:1:pos:R:3 pbc="T T T"
Pb 2.440 2.894 2.894
S 2.440 0.000 0.000
Tl 0.000 2.894 0.000
Tl 0.000 0.000 2.894
Br 0.000 0.000 0.000
```

[2]
Here is a geometry-optimized Be2NiIr structure from Alexandria via LeMat-Bulk. Energies are from PBEsol.

## Properties
Magnetic moment = 0.00 μB per formula unit
VASP energy = -6.52 eV/atom
Space-group type = No. 123

Structure (extended XYZ):
```
4
Lattice="-0.226 2.696 -0.317 -1.636 -0.389 -2.143 -4.206 0.024 3.207" Properties=species:S:1:pos:R:3 pbc="T T T"
Be -1.094 0.006 0.835
Be -3.112 0.018 2.373
Ni -3.034 1.165 0.374
Ir -0.931 1.153 -1.230
```

[3]
Here is a geometry-optimized InSe2 structure from Alexandria via LeMat-Bulk. Energies are from PBEsol.

## Properties
Magnetic moment = 0.00 μB per formula unit
VASP energy = -3.94 eV/atom
E_form (uncorrected) = -0.376 eV per atom
Space-group type = No. 63

Structure (extended XYZ):
```
6
Lattice="3.975 0.000 0.000 0.000 5.292 0.000 -1.988 0.000 6.856" Properties=species:S:1:pos:R:3 pbc="T T T"
Se 0.000 3.969 2.732
Se 0.000 3.969 6.619
Se 1.988 1.323 0.237
Se 1.988 1.323 4.124
In 1.988 3.969 4.675
In 0.000 1.323 2.180
```

[4]
Here is a geometry-optimized Sc2CrAs structure from Alexandria via LeMat-Bulk. Energies are from PBEsol.

## Properties
Magnetic moment = 1.01 μB per formula unit
VASP energy = -7.25 eV/atom
Space-group type = No. 216

Structure (extended XYZ):
```
4
Lattice="-2.454 2.325 2.953 -2.662 -2.158 2.899 1.049 -0.101 4.363" Properties=species:S:1:pos:R:3 pbc="T T T"
Sc -1.017 0.017 2.554
Sc 0.000 0.000 0.000
As -2.034 0.033 5.107
Cr -3.051 0.050 7.661
```

[5]
Here is a geometry-optimized AlCuCl4 structure from Alexandria via LeMat-Bulk. Energies are from PBEsol.

## Properties
Magnetic moment = 0.12 μB per formula unit
VASP energy = -3.88 eV/atom
E_form (uncorrected) = -1.137 eV per atom
Space-group type = No. 112

Structure (extended XYZ):
```
12
Lattice="5.387 0.000 0.000 0.000 5.387 0.000 0.000 0.000 9.804" Properties=species:S:1:pos:R:3 pbc="T T T"
Cl 3.937 4.112 8.570
Cl 4.112 1.450 1.234
Cl 1.450 4.112 6.136
Cl 1.275 3.937 1.234
Cl 3.937 1.275 6.136
Cl 4.112 3.937 3.668
Cl 1.275 1.450 3.668
Cl 1.450 1.275 8.570
Cu 0.000 0.000 4.902
Cu 0.000 0.000 0.000
Al 0.000 2.693 2.451
Al 2.693 0.000 7.353
```

[6]
Here is a geometry-optimized LaCuRh structure from Alexandria via LeMat-Bulk. Energies are from PBEsol.

## Properties
Magnetic moment = 0.00 μB per formula unit
VASP energy = -6.29 eV/atom
Space-group type = No. 187

Structure (extended XYZ):
```
3
Lattice="-0.743 -3.531 1.342 -0.402 -1.432 -3.991 3.803 -0.073 1.916" Properties=species:S:1:pos:R:3 pbc="T T T"
La 2.402 -0.526 -0.053
Cu -0.372 -1.765 0.671
Rh 0.628 -2.744 -1.351
```

[7]
Here is a geometry-optimized ZnGaS2Cl structure from Alexandria via LeMat-Bulk. Energies are from PBEsol.

## Properties
Magnetic moment = 0.00 μB per formula unit
VASP energy = -3.11 eV/atom
E_form (uncorrected) = 0.026 eV per atom
Space-group type = No. 123

Structure (extended XYZ):
```
5
Lattice="4.562 0.000 0.000 0.000 4.562 0.000 0.000 0.000 5.067" Properties=species:S:1:pos:R:3 pbc="T T T"
Ga 2.281 2.281 2.533
S 2.281 0.000 0.000
S 0.000 2.281 0.000
Zn 0.000 0.000 0.000
Cl 0.000 0.000 2.533
```

[8]
Here is a geometry-optimized Ti10BiPb9O30 structure from Alexandria via LeMat-Bulk. Energies are from PBEsol.

## Properties
Magnetic moment = 0.00 μB per formula unit
VASP energy = -7.93 eV/atom
E_form (uncorrected) = -2.314 eV per atom
Space-group type = No. 1

Structure (extended XYZ):
```
50
Lattice="8.705 -0.002 0.000 0.003 8.704 0.000 3.482 1.739 8.264" Properties=species:S:1:pos:R:3 pbc="T T T"
O 2.615 7.829 3.691
O 1.734 0.868 1.596
O 8.651 4.315 5.650
O 6.969 7.833 1.599
O 4.410 4.343 3.681
O 2.611 3.482 1.601
O 4.355 8.710 1.594
O 6.096 5.222 1.558
O 6.130 5.167 5.642
O 6.094 9.578 7.808
O 5.280 2.644 5.646
O 9.512 2.620 3.681
O 2.613 3.480 5.703
O 3.491 6.093 1.589
O 0.875 6.954 1.589
O 7.800 1.792 5.647
O 6.105 0.931 3.680
O 7.833 1.741 1.555
O 6.966 7.833 5.700
O 4.343 8.745 5.695
O 7.831 6.031 3.682
O 7.828 6.087 7.803
O 10.409 9.559 5.691
O 9.570 2.595 7.804
O 8.703 4.348 1.556
O 3.525 6.106 5.701
O 4.370 4.351 7.803
O 9.591 6.920 5.701
O 11.320 7.843 7.802
O 5.225 2.613 1.561
Pb 10.447 5.229 8.252
Pb 5.235 6.969 0.005
Pb 1.740 5.221 0.004
Pb 1.721 5.228 4.074
Pb 5.217 6.939 4.072
Pb 3.475 1.741 0.001
Pb 8.714 8.725 4.071
Pb 8.708 8.686 0.005
Pb 3.506 1.733 4.071
Ti 6.075 9.535 6.020
Ti 4.361 4.346 1.885
Ti 9.615 2.585 6.019
Ti 4.318 4.372 6.018
Ti 7.857 6.130 6.018
Ti 0.859 2.612 1.884
Ti 7.832 6.079 1.886
Ti 2.617 7.833 1.894
Ti 2.615 7.834 6.009
Ti 6.098 0.885 1.884
Bi 6.968 3.478 4.323
```

[9]
Here is a geometry-optimized CeCuSn structure from Alexandria via LeMat-Bulk. Energies are from PBEsol.

## Properties
Magnetic moment = 0.93 μB per formula unit
VASP energy = -5.49 eV/atom
Space-group type = No. 194

Structure (extended XYZ):
```
6
Lattice="-1.306 4.063 1.476 -2.665 -2.355 -2.782 -3.329 -3.217 5.912" Properties=species:S:1:pos:R:3 pbc="T T T"
Cu -4.256 -0.489 4.490
Cu -3.044 -1.020 0.115
Ce -1.665 -1.609 2.956
Ce 0.000 0.000 0.000
Sn -2.591 1.119 1.534
Sn -4.709 -2.628 3.071
```

[10]
Here is a geometry-optimized Sc2AlAg structure from Alexandria via LeMat-Bulk. Energies are from PBEsol.

## Properties
Magnetic moment = 0.00 μB per formula unit
VASP energy = -5.54 eV/atom
Space-group type = No. 123

Structure (extended XYZ):
```
4
Lattice="-2.127 -1.966 -1.523 2.277 -2.346 -0.151 -2.182 -2.524 6.307" Properties=species:S:1:pos:R:3 pbc="T T T"
Sc -0.542 -0.627 1.566
Sc -1.640 -1.897 4.741
Al -1.016 -3.418 2.317
Ag 0.075 -2.156 -0.837
```

[11]
Here is a geometry-optimized Y2CrBr structure from Alexandria via LeMat-Bulk. Energies are from PBEsol.

## Properties
Magnetic moment = 2.33 μB per formula unit
VASP energy = -6.72 eV/atom
E_form (uncorrected) = -0.282 eV per atom
Space-group type = No. 10

Structure (extended XYZ):
```
4
Lattice="-1.637 -2.988 -0.245 0.900 -0.219 -3.345 7.006 -4.012 2.122" Properties=species:S:1:pos:R:3 pbc="T T T"
Br 2.685 -3.500 0.938
Y 2.355 -1.052 -2.898
Y 5.551 -3.178 1.675
Cr -0.368 -1.603 -1.795
```

[12]
Here is a geometry-optimized MgZrSi2 structure from Alexandria via LeMat-Bulk. Energies are from PBEsol.

## Properties
Magnetic moment = 0.00 μB per formula unit
VASP energy = -5.93 eV/atom
E_form (uncorrected) = -0.354 eV per atom
Space-group type = No. 139

Structure (extended XYZ):
```
4
Lattice="-1.719 -2.340 2.715 1.614 -3.194 -1.731 3.382 3.136 1.933" Properties=species:S:1:pos:R:3 pbc="T T T"
Mg -0.052 -2.767 0.492
Si 2.472 -1.413 0.347
Si 0.805 -0.986 2.570
Zr 0.000 0.000 0.000
```